# 1
! PBE YSnS3, relaxed; values from VASP
! - Spin magnetization: 0.000 μB/atom
! - Distance to the lowest polymorph of the same formula: 533 meV/atom
&SYSTEM
  ibrav = 0, nat = 5, ntyp = 3
/
ATOMIC_SPECIES
Y 88.91 Y.upf
Sn 118.71 Sn.upf
S 32.06 S.upf
CELL_PARAMETERS angstrom
5.2040 0.0000 0.0000
0.0000 5.2040 0.0000
0.0000 0.0000 5.2040
ATOMIC_POSITIONS crystal
Y 0.0000 0.0000 0.0000
Sn 0.5000 0.5000 0.5000
S 0.0000 0.0000 0.5000
S 0.0000 0.5000 0.0000
S 0.5000 0.0000 0.0000

# 2
! PBE YSnS4, relaxed; values from VASP
! - VASP energy: -31.623 eV/f.u.
! - Spin magnetization: 0.159 μB/atom
&SYSTEM
  ibrav = 0, nat = 12, ntyp = 3
/
ATOMIC_SPECIES
Y 88.91 Y.upf
Sn 118.71 Sn.upf
S 32.06 S.upf
CELL_PARAMETERS angstrom
6.3035 0.0000 0.0000
0.0000 6.6888 0.0000
-0.1385 0.0000 6.5416
ATOMIC_POSITIONS crystal
Y 0.0000 0.0000 0.0000
Y 0.0000 0.5000 0.5000
Sn 0.5000 0.0000 0.5000
Sn 0.5000 0.5000 0.0000
S 0.1314 0.1277 0.3891
S 0.1314 0.3723 0.8891
S 0.3578 0.6620 0.3226
S 0.3578 0.8380 0.8226
S 0.6422 0.1620 0.1774
S 0.6422 0.3380 0.6774
S 0.8686 0.6277 0.1109
S 0.8686 0.8723 0.6109

# 3
! PBE YSnS3, relaxed; values from VASP
! - Spin magnetization: 0.000 μB/atom
! - Distance to the lowest polymorph of the same formula: 0 meV/atom
&SYSTEM
  ibrav = 0, nat = 10, ntyp = 3
/
ATOMIC_SPECIES
Y 88.91 Y.upf
Sn 118.71 Sn.upf
S 32.06 S.upf
CELL_PARAMETERS angstrom
3.4467 1.9900 6.1438
-3.4467 1.9900 6.1438
0.0000 -3.9799 6.1438
ATOMIC_POSITIONS crystal
Y 0.1491 0.1491 0.1491
Y 0.8509 0.8509 0.8509
Sn 0.3511 0.3511 0.3511
Sn 0.6489 0.6489 0.6489
S 0.0471 0.4486 0.7505
S 0.2495 0.9529 0.5514
S 0.4486 0.7505 0.0471
S 0.5514 0.2495 0.9529
S 0.7505 0.0471 0.4486
S 0.9529 0.5514 0.2495

# 4
! PBE YSnS3, relaxed; values from VASP
! - Spin magnetization: 0.000 μB/atom
! - Distance to the lowest polymorph of the same formula: 633 meV/atom
&SYSTEM
  ibrav = 0, nat = 5, ntyp = 3
/
ATOMIC_SPECIES
Y 88.91 Y.upf
Sn 118.71 Sn.upf
S 32.06 S.upf
CELL_PARAMETERS angstrom
4.9519 0.0000 0.0000
0.0000 4.9519 0.0000
0.0000 0.0000 4.9519
ATOMIC_POSITIONS crystal
Y 0.0000 0.0000 0.0000
Sn 0.5000 0.5000 0.5000
S 0.0000 0.5000 0.5000
S 0.5000 0.0000 0.5000
S 0.5000 0.5000 0.0000

# 5
! PBE Y6SnS5, relaxed; values from VASP
! - VASP energy: -84.558 eV/f.u.
! - Spin magnetization: 0.000 μB/atom
&SYSTEM
  ibrav = 0, nat = 12, ntyp = 3
/
ATOMIC_SPECIES
Y 88.91 Y.upf
Sn 118.71 Sn.upf
S 32.06 S.upf
CELL_PARAMETERS angstrom
3.4694 -6.0072 0.0000
3.4694 6.0072 0.0000
-2.3172 0.0000 6.5658
ATOMIC_POSITIONS crystal
Y 0.0673 0.4133 0.7396
Y 0.2397 0.2397 0.2581
Y 0.4133 0.0673 0.7396
Y 0.5867 0.9327 0.2604
Y 0.7603 0.7603 0.7419
Y 0.9327 0.5867 0.2604
Sn 0.5000 0.5000 0.0000
S 0.0000 0.0000 0.5000
S 0.1678 0.8322 0.0000
S 0.3378 0.6622 0.5000
S 0.6622 0.3378 0.5000
S 0.8322 0.1678 0.0000

# 6
! PBE YSn2S4, relaxed; values from VASP
! - VASP energy: -37.408 eV/f.u.
! - Spin magnetization: 0.000 μB/atom
&SYSTEM
  ibrav = 0, nat = 14, ntyp = 3
/
ATOMIC_SPECIES
Y 88.91 Y.upf
Sn 118.71 Sn.upf
S 32.06 S.upf
CELL_PARAMETERS angstrom
1.9031 -6.6214 0.0000
1.9031 6.6214 0.0000
0.0000 0.0000 13.2920
ATOMIC_POSITIONS crystal
Y 0.1170 0.8830 0.7500
Y 0.8830 0.1170 0.2500
Sn 0.3690 0.6310 0.5685
Sn 0.3690 0.6310 0.9315
Sn 0.6310 0.3690 0.0685
Sn 0.6310 0.3690 0.4315
S 0.0000 0.0000 0.0000
S 0.0000 0.0000 0.5000
S 0.2851 0.7149 0.1251
S 0.2851 0.7149 0.3749
S 0.4699 0.5301 0.7500
S 0.5301 0.4699 0.2500
S 0.7149 0.2851 0.6251
S 0.7149 0.2851 0.8749

# 7
! PBE Y2SnS4, relaxed; values from VASP
! - Spin magnetization: 0.000 μB/atom
! - Distance to the lowest polymorph of the same formula: 0 meV/atom
&SYSTEM
  ibrav = 0, nat = 14, ntyp = 3
/
ATOMIC_SPECIES
Y 88.91 Y.upf
Sn 118.71 Sn.upf
S 32.06 S.upf
CELL_PARAMETERS angstrom
-4.1002 4.1002 5.7941
4.1002 -4.1002 5.7941
4.1002 4.1002 -5.7941
ATOMIC_POSITIONS crystal
Y 0.0000 0.0000 0.0000
Y 0.0000 0.0000 0.5000
Y 0.0000 0.5000 0.0000
Y 0.5000 0.0000 0.5000
Sn 0.3750 0.6250 0.7500
Sn 0.6250 0.3750 0.2500
S 0.2125 0.2377 0.9748
S 0.2372 0.7623 0.4748
S 0.2377 0.2125 0.4748
S 0.2377 0.7628 0.0252
S 0.7623 0.2372 0.9748
S 0.7623 0.7875 0.5252
S 0.7628 0.2377 0.5252
S 0.7875 0.7623 0.0252

# 8
! PBE Y2SnS5, relaxed; values from VASP
! - VASP energy: -48.278 eV/f.u.
! - Spin magnetization: 0.000 μB/atom
&SYSTEM
  ibrav = 0, nat = 16, ntyp = 3
/
ATOMIC_SPECIES
Y 88.91 Y.upf
Sn 118.71 Sn.upf
S 32.06 S.upf
CELL_PARAMETERS angstrom
2.6270 -6.6639 0.0000
2.6270 6.6639 0.0000
0.0000 0.0000 12.8423
ATOMIC_POSITIONS crystal
Y 0.1515 0.8485 0.5673
Y 0.1515 0.8485 0.9327
Y 0.8485 0.1515 0.0673
Y 0.8485 0.1515 0.4327
Sn 0.1745 0.8255 0.2500
Sn 0.8255 0.1745 0.7500
S 0.0453 0.9547 0.1104
S 0.0453 0.9547 0.3896
S 0.2707 0.7293 0.7500
S 0.3010 0.6990 0.0915
S 0.3010 0.6990 0.4085
S 0.6990 0.3010 0.5915
S 0.6990 0.3010 0.9085
S 0.7293 0.2707 0.2500
S 0.9547 0.0453 0.6104
S 0.9547 0.0453 0.8896